A relaxed MoOs3 crystal, computed with PBE.

a = 4.7800 Å, b = 4.7800 Å, c = 4.7800 Å
α = 132.19°, β = 132.19°, γ = 69.93°
Last column: nearest neighbours and their distance in Å.
Atoms (fractional coordinates):
Mo1 0.0000 0.0000 0.0000  12 Os 2.74-2.75
Os1 0.2500 0.7500 0.5000  8 Os 2.74-2.75, 4 Mo 2.75
Os2 0.5000 0.5000 0.0000  4 Mo 2.74, 8 Os 2.75
Os3 0.7500 0.2500 0.5000  8 Os 2.74-2.75, 4 Mo 2.75

Results
The spin magnetization is 0.0 μB/f.u. As for the crystal system: tetragonal. The value obtained for the energy of formation from the pure elements is 0.0584 eV/atom.